(1)
Entry from OQMD via LeMat-Bulk: a geometry-optimized SiNiIrPd structure (GGA-PBE).

Calculated values
- volume (Å³/atom) = 13.52
- VASP energy (eV for the cell shown) = -24.92

```
data_SiNiIrPd
_space_group_name_H-M_alt 'P 1'
_space_group_IT_number 1
_cell_length_a 4.245
_cell_length_b 4.245
_cell_length_c 4.245
_cell_angle_alpha 60.00
_cell_angle_beta 60.00
_cell_angle_gamma 60.00
loop_
_space_group_symop_operation_xyz
'x,y,z'
loop_
_atom_site_label
_atom_site_type_symbol
_atom_site_fract_x
_atom_site_fract_y
_atom_site_fract_z
Si1 Si 0.000 0.000 0.000
Ni1 Ni 0.750 0.750 0.750
Pd1 Pd 0.250 0.250 0.250
Ir1 Ir 0.500 0.500 0.500
```

---

(2)
Entry from OQMD via LeMat-Bulk: a geometry-optimized TbDyTc structure (GGA-PBE).

Calculated values
- volume (Å³/atom) = 25.44
- energy relative to the elements (eV per atom) = 0.93
- VASP energy (eV for the cell shown) = -16.79

```
data_TbDyTc
_space_group_name_H-M_alt 'P 1'
_space_group_IT_number 1
_cell_length_a 4.761
_cell_length_b 4.761
_cell_length_c 4.761
_cell_angle_alpha 60.00
_cell_angle_beta 60.00
_cell_angle_gamma 60.00
loop_
_space_group_symop_operation_xyz
'x,y,z'
loop_
_atom_site_label
_atom_site_type_symbol
_atom_site_fract_x
_atom_site_fract_y
_atom_site_fract_z
Tc1 Tc 0.750 0.750 0.750
Dy1 Dy 0.000 0.000 0.000
Tb1 Tb 0.250 0.250 0.250
```

---

(3)
Entry from OQMD via LeMat-Bulk: a geometry-optimized RbNbCu structure (GGA-PBE).

Calculated values
- volume (Å³/atom) = 35.82
- VASP energy (eV for the cell shown) = -7.90

```
data_RbNbCu
_space_group_name_H-M_alt 'P 1'
_space_group_IT_number 1
_cell_length_a 5.336
_cell_length_b 5.336
_cell_length_c 5.336
_cell_angle_alpha 60.00
_cell_angle_beta 60.00
_cell_angle_gamma 60.00
loop_
_space_group_symop_operation_xyz
'x,y,z'
loop_
_atom_site_label
_atom_site_type_symbol
_atom_site_fract_x
_atom_site_fract_y
_atom_site_fract_z
Rb1 Rb 0.000 0.000 0.000
Cu1 Cu 0.250 0.250 0.250
Nb1 Nb 0.750 0.750 0.750
```

---

Q: Which of these has the highest volume?
A: RbNbCu